[1]
The following is a GGA-PBE calculation of an optimized crystal structure of Pr2Sm6YEr, from Alexandria via LeMat-Bulk.

Cell: 8.9419 8.9419 9.8266 Å, 94.35 94.35 118.42°
Last column: nearest neighbours and their distance in Å.
Sites, in units of the cell vectors:
Pr 0.1945 0.3003 0.0416  5 Sm 3.28-3.54, 2 Y 3.42-3.45, 1 Er 3.62
Pr 0.3003 0.1945 0.5416  5 Sm 3.28-3.54, 2 Y 3.42-3.45, 1 Er 3.62
Pr 0.6997 0.8055 0.4584  5 Sm 3.28-3.54, 2 Y 3.42-3.45, 1 Er 3.62
Pr 0.8055 0.6997 0.9584  5 Sm 3.28-3.54, 2 Y 3.42-3.45, 1 Er 3.62
Sm 0.0191 0.5753 0.1897  4 Sm 3.31-3.70, 1 Pr 3.43, 1 Er 3.49, 1 Y 3.64
Sm 0.1263 0.7491 0.5558  7 Sm 3.45-3.82, 1 Pr 3.54, 1 Y 3.71
Sm 0.2509 0.8737 0.9442  7 Sm 3.45-3.82, 1 Pr 3.54, 1 Y 3.71
Sm 0.2907 0.4991 0.3806  3 Pr 3.28-3.49, 4 Sm 3.31-3.61, 2 Er 3.47-3.62
Sm 0.4247 0.9809 0.3103  4 Sm 3.31-3.70, 1 Pr 3.43, 1 Er 3.49, 1 Y 3.64
Sm 0.4991 0.2907 0.8806  3 Pr 3.28-3.49, 4 Sm 3.31-3.61, 2 Er 3.47-3.62
Sm 0.5009 0.7093 0.1194  3 Pr 3.28-3.49, 4 Sm 3.31-3.61, 2 Er 3.47-3.62
Sm 0.5753 0.0191 0.6897  4 Sm 3.31-3.70, 1 Pr 3.43, 1 Er 3.49, 1 Y 3.64
Sm 0.7093 0.5009 0.6194  3 Pr 3.28-3.49, 4 Sm 3.31-3.61, 2 Er 3.47-3.62
Sm 0.7491 0.1263 0.0558  7 Sm 3.45-3.82, 1 Pr 3.54, 1 Y 3.71
Sm 0.8737 0.2509 0.4442  7 Sm 3.45-3.82, 1 Pr 3.54, 1 Y 3.71
Sm 0.9809 0.4247 0.8103  4 Sm 3.31-3.70, 1 Pr 3.43, 1 Er 3.49, 1 Y 3.64
Y 0.0183 0.9817 0.2500  4 Pr 3.42-3.45, 4 Sm 3.64-3.71
Y 0.9817 0.0183 0.7500  4 Pr 3.42-3.45, 4 Sm 3.64-3.71
Er 0.4078 0.5922 0.7500  8 Sm 3.47-3.87, 2 Pr 3.62
Er 0.5922 0.4078 0.2500  8 Sm 3.47-3.87, 2 Pr 3.62

## Properties
ΔH_f (0 K): 0.114 eV/atom
Space-group type: C2/c

[2]
The following is a GGA-PBE calculation of an optimized crystal structure of PrSmYEr2, from Alexandria via LeMat-Bulk.

Cell: 7.1469 7.1469 7.2045 Å, 90.00 90.00 108.06°
Last column: nearest neighbours and their distance in Å.
Sites, in units of the cell vectors:
Pr 0.2234 0.7766 0.7500  1 Sm 3.09
Pr 0.7766 0.2234 0.2500  1 Sm 3.09
Sm 0.4905 0.5095 0.7500  1 Pr 3.09, 4 Er 3.18, 1 Y 3.27
Sm 0.5095 0.4905 0.2500  1 Pr 3.09, 4 Er 3.18, 1 Y 3.27
Y 0.2267 0.7733 0.2500  1 Sm 3.27, 4 Er 3.55, 2 Pr 3.60
Y 0.7733 0.2267 0.7500  1 Sm 3.27, 4 Er 3.55, 2 Pr 3.60
Er 0.1877 0.1877 0.0000  1 Er 3.15, 2 Sm 3.18, 2 Pr 3.52
Er 0.1877 0.1877 0.5000  1 Er 3.15, 2 Sm 3.18, 2 Pr 3.52
Er 0.8123 0.8123 0.0000  1 Er 3.15, 2 Sm 3.18, 2 Pr 3.52
Er 0.8123 0.8123 0.5000  1 Er 3.15, 2 Sm 3.18, 2 Pr 3.52

## Properties
ΔH_f (0 K): 0.372 eV/atom
Space-group type: Cmcm

[3]
The following is a GGA-PBE calculation of an optimized crystal structure of Pr3Sm6Y2Er, from Alexandria via LeMat-Bulk.

Cell: 6.3033 6.3033 12.0412 Å, 95.00 95.00 120.01°
Last column: nearest neighbours and their distance in Å.
Sites, in units of the cell vectors:
Pr 0.0000 0.0000 0.0000  6 Pr 3.64, 6 Sm 3.68
Pr 0.3335 0.6665 0.0000  6 Pr 3.64, 6 Sm 3.68
Pr 0.6665 0.3335 0.0000  6 Pr 3.64, 6 Sm 3.68
Sm 0.0859 0.4181 0.2547  1 Er 3.58, 2 Y 3.59, 6 Sm 3.63-3.65, 3 Pr 3.68
Sm 0.2496 0.2496 0.7453  1 Er 3.58, 2 Y 3.59, 6 Sm 3.63-3.65, 3 Pr 3.68
Sm 0.4181 0.0859 0.2547  1 Er 3.58, 2 Y 3.59, 6 Sm 3.63-3.65, 3 Pr 3.68
Sm 0.5819 0.9141 0.7453  1 Er 3.58, 2 Y 3.59, 6 Sm 3.63-3.65, 3 Pr 3.68
Sm 0.7504 0.7504 0.2547  1 Er 3.58, 2 Y 3.59, 6 Sm 3.63-3.65, 3 Pr 3.68
Sm 0.9141 0.5819 0.7453  1 Er 3.58, 2 Y 3.59, 6 Sm 3.63-3.65, 3 Pr 3.68
Y 0.1667 0.8333 0.5000  6 Sm 3.59, 3 Y 3.64, 3 Er 3.64
Y 0.8333 0.1667 0.5000  6 Sm 3.59, 3 Y 3.64, 3 Er 3.64
Er 0.5000 0.5000 0.5000  6 Sm 3.58, 6 Y 3.64

## Properties
ΔH_f (0 K): 0.017 eV/atom
Space-group type: C2/m

[4]
The following is a GGA-PBE calculation of an optimized crystal structure of PrSm3Y6Er2, from Alexandria via LeMat-Bulk.

Cell: 6.2116 6.2116 11.8662 Å, 94.98 94.98 119.96°
Last column: nearest neighbours and their distance in Å.
Sites, in units of the cell vectors:
Pr 0.0000 0.0000 0.0000  6 Y 3.57-3.58, 6 Er 3.59
Sm 0.1670 0.8330 0.5000  6 Sm 3.58-3.59, 6 Y 3.59
Sm 0.5000 0.5000 0.5000  6 Sm 3.58-3.59, 6 Y 3.59
Sm 0.8330 0.1670 0.5000  6 Sm 3.58-3.59, 6 Y 3.59
Y 0.0837 0.4178 0.2489  2 Er 3.57, 1 Pr 3.58, 6 Y 3.58-3.60, 3 Sm 3.59
Y 0.2508 0.2508 0.7511  2 Er 3.57, 1 Pr 3.57, 6 Y 3.58-3.60, 3 Sm 3.59
Y 0.4178 0.0837 0.2489  2 Er 3.57, 1 Pr 3.58, 6 Y 3.58-3.60, 3 Sm 3.59
Y 0.5822 0.9163 0.7511  2 Er 3.57, 1 Pr 3.58, 6 Y 3.58-3.60, 3 Sm 3.59
Y 0.7492 0.7492 0.2489  2 Er 3.57, 1 Pr 3.57, 6 Y 3.58-3.60, 3 Sm 3.59
Y 0.9163 0.5822 0.7511  2 Er 3.57, 1 Pr 3.58, 6 Y 3.58-3.60, 3 Sm 3.59
Er 0.3333 0.6667 0.0000  6 Y 3.57, 3 Pr 3.59, 3 Er 3.59
Er 0.6667 0.3333 0.0000  6 Y 3.57, 3 Pr 3.59, 3 Er 3.59

## Properties
ΔH_f (0 K): 0.017 eV/atom
Space-group type: C2/m

Question: What is the ΔH_f (0 K) in the third record?
Answer: 0.017 eV/atom

Question: The highest ΔH_f (0 K) belongs to which entry?
Answer: PrSmYEr2